This record from Alexandria describes MnCd2Re at its PBEsol-relaxed geometry. The functional is meta-GGA SCAN.

Output
Energy of formation from the pure elements, eV per atom: 0.62
Energy relative to the lowest polymorph listed for this composition, eV per formula unit: 0.945
Calculated total energy, eV/atom: -36.92

a = 6.4203 Å, b = 6.4203 Å, c = 6.4203 Å
α = 90.00°, β = 90.00°, γ = 90.00°
Space group Fm-3m (No. 225)
Symmetry-distinct sites (fractional):
Mn (0.0000, 0.0000, 0.0000) [4 per cell]
Cd (0.2500, 0.2500, 0.2500) [8 per cell]
Re (0.0000, 0.0000, 0.5000) [4 per cell]